# 1
Here is Na2MnBr6 after structural relaxation from Alexandria. Energies are from PBE.

Structure (POSCAR):
```
Na2MnBr6
1.0
6.6726 0.0000 0.0000
0.0000 6.6726 0.0000
0.0000 0.0000 12.4381
Na Mn Br
4 2 12
Direct
0.0000 0.0000 0.1657
0.0000 0.0000 0.8343
0.5000 0.5000 0.3343
0.5000 0.5000 0.6657
0.0000 0.0000 0.5000
0.5000 0.5000 0.0000
0.1820 0.1820 0.3579
0.1820 0.1820 0.6421
0.2376 0.2376 0.0000
0.2624 0.7376 0.5000
0.3180 0.6820 0.1421
0.3180 0.6820 0.8579
0.6820 0.3180 0.1421
0.6820 0.3180 0.8579
0.7376 0.2624 0.5000
0.7624 0.7624 0.0000
0.8180 0.8180 0.3579
0.8180 0.8180 0.6421
```

Summary:
- Total energy: -3.3580 eV per atom
- Energy above the lowest structure with this stoichiometry: 5.0 kJ per mole of atoms
- V: 30.8 Å³ per atom
- Raw formation energy: -0.931 eV/atom
- Symmetry: P4_2/mnm (136)

# 2
Here is InSiOs2 after structural relaxation from Alexandria. Energies are from PBE.

Structure (POSCAR):
```
InSiOs2
1.0
-1.9252 1.9252 4.1647
1.9252 -1.9252 4.1647
1.9252 1.9252 -4.1647
In Si Os
1 1 2
Direct
0.0000 0.0000 0.0000
0.7500 0.2500 0.5000
0.2500 0.7500 0.5000
0.5000 0.5000 0.0000
```

Summary:
- Total energy: -7.0959 eV per atom
- Energy above the lowest structure with this stoichiometry: 45.4 kJ per mole of atoms
- V: 15.4 Å³ per atom
- Raw formation energy: 0.559 eV/atom
- Symmetry: I-4m2 (119)

# 3
Here is ReTeMo2 after structural relaxation from Alexandria. Energies are from PBE.

Structure (POSCAR):
```
ReTeMo2
1.0
3.1245 0.0000 0.0000
0.0000 3.1245 0.0000
0.0000 0.0000 6.9474
Re Te Mo
1 1 2
Direct
0.0000 0.0000 0.0000
0.0000 0.0000 0.5000
0.5000 0.5000 0.2326
0.5000 0.5000 0.7674
```

Summary:
- Total energy: -9.0330 eV per atom
- V: 17.0 Å³ per atom
- Raw formation energy: 0.280 eV/atom
- Symmetry: P4/mmm (123)

# 4
Here is Cd2IrW after structural relaxation from Alexandria. Energies are from PBE.

Structure (POSCAR):
```
Cd2IrW
1.0
1.5324 -2.3716 0.0000
1.5324 2.3716 0.0000
0.0000 0.0000 9.6380
Cd Ir W
2 1 1
Direct
0.0000 0.0000 0.2421
0.0000 0.0000 0.7579
0.5000 0.5000 0.0000
0.5000 0.5000 0.5000
```

Summary:
- Total energy: -5.3991 eV per atom
- Energy above the lowest structure with this stoichiometry: 41.9 kJ per mole of atoms
- ΔE_f: 0.512 eV/atom
- V: 17.5 Å³ per atom
- Symmetry: Cmmm (65)

# 5
Here is CePuPa after structural relaxation from Alexandria. Energies are from PBE.

Structure (POSCAR):
```
CePuPa
1.0
-1.6645 1.6645 6.7703
1.6645 -1.6645 6.7703
1.6645 1.6645 -6.7703
Ce Pu Pa
1 1 1
Direct
0.0000 0.0000 0.0000
0.6740 0.6740 0.0000
0.3290 0.3290 0.0000
```

Summary:
- Total energy: -9.8468 eV per atom
- Energy above the lowest structure with this stoichiometry: 2.0 kJ per mole of atoms
- ΔE_f: 0.074 eV/atom
- V: 25.0 Å³ per atom
- Symmetry: I4mm (107)

# 6
Here is Mg4TlSn after structural relaxation from Alexandria. Energies are from PBE.

Structure (POSCAR):
```
Mg4TlSn
1.0
4.7722 0.0000 0.0000
0.0000 4.7722 0.0000
0.0000 0.0000 6.9693
Mg Tl Sn
4 1 1
Direct
0.0000 0.5000 0.2500
0.0000 0.5000 0.7500
0.5000 0.0000 0.2500
0.5000 0.0000 0.7500
0.0000 0.0000 0.0000
0.5000 0.5000 0.5000
```

Summary:
- Total energy: -2.2097 eV per atom
- Energy above the lowest structure with this stoichiometry: 0.0 kJ per mole of atoms
- ΔE_f: -0.085 eV/atom
- V: 26.5 Å³ per atom
- Symmetry: P4/mmm (123)

# 7
Here is AlSiS2N after structural relaxation from Alexandria. Energies are from PBE.

Structure (POSCAR):
```
AlSiS2N
1.0
4.7554 0.0000 0.0000
0.0000 4.7554 0.0000
0.0000 0.0000 3.6663
Al Si S N
1 1 2 1
Direct
0.0000 0.0000 0.0000
0.5000 0.5000 0.5000
0.0000 0.5000 0.0000
0.5000 0.0000 0.0000
0.0000 0.0000 0.5000
```

Summary:
- Total energy: -4.7567 eV per atom
- Energy above the lowest structure with this stoichiometry: 26.3 kJ per mole of atoms
- V: 16.6 Å³ per atom
- Raw formation energy: 0.392 eV/atom
- Symmetry: P4/mmm (123)

# 8
Here is LiScPb after structural relaxation from Alexandria. Energies are from PBE.

Structure (POSCAR):
```
LiScPb
1.0
5.0754 0.0000 0.0000
-2.5377 4.3954 0.0000
0.0000 0.0000 6.0803
Li Sc Pb
2 2 2
Direct
0.0000 0.0000 0.0000
0.0000 0.0000 0.5000
0.3333 0.6667 0.2500
0.6667 0.3333 0.7500
0.3333 0.6667 0.7500
0.6667 0.3333 0.2500
```

Summary:
- Total energy: -4.3692 eV per atom
- ΔE_f: -0.385 eV/atom
- V: 22.6 Å³ per atom
- Symmetry: P6_3/mmc (194)